[1]
DFT (PBE-GGA) results for crystalline RbSmCoTe3 at its relaxed geometry.

Output
Energy above the lowest structure with this stoichiometry ... 0.32 eV per formula unit
Total magnetic moment ... 8.7 μB/cell

Cell: 12.3782 4.5339 13.6656 Å, 90.00 90.00 90.00°
Space group Pnma (No. 62)
Symmetry-distinct sites (fractional):
Rb  0.1816  0.2500  0.0040 [4 per cell]
Sm  0.0207  0.2500  0.6793 [4 per cell]
Co  0.2499  0.2500  0.2968 [4 per cell]
Te  0.0490  0.7500  0.8356 [4 per cell]
Te  0.1048  0.2500  0.4359 [4 per cell]
Te  0.2199  0.7500  0.2140 [4 per cell]

---

[2]
DFT (PBE-GGA) results for crystalline KNa2Pd2 at its relaxed geometry.

Output
Energy above the lowest structure with this stoichiometry ... 0.00 eV per formula unit

Cell: 8.7823 8.7823 2.9391 Å, 90.00 90.00 90.00°
Space group P4/mbm (No. 127)
Symmetry-distinct sites (fractional):
K  0.0000  0.0000  0.0000 [2 per cell]
Na  0.1230  0.3770  0.0000 [4 per cell]
Pd  0.1719  0.6719  0.5000 [4 per cell]

---

[3]
DFT (PBE-GGA) results for crystalline MgNbBiW at its relaxed geometry.

Output
Energy above the lowest structure with this stoichiometry ... 1.15 eV per formula unit
Total magnetic moment ... 1.1 μB/cell

Cell: 6.7629 6.7629 6.7629 Å, 90.00 90.00 90.00°
Space group F-43m (No. 216)
Symmetry-distinct sites (fractional):
Mg  0.0000  0.0000  0.0000 [4 per cell]
Nb  0.2500  0.2500  0.2500 [4 per cell]
Bi  0.0000  0.0000  0.5000 [4 per cell]
W  0.2500  0.2500  0.7500 [4 per cell]

---

[4]
DFT (PBE-GGA) results for crystalline LuZnCoPb at its relaxed geometry.

Output
Energy above the lowest structure with this stoichiometry ... 0.15 eV per formula unit
Total magnetic moment ... 1.1 μB/cell

Cell: 6.6863 6.6863 6.6863 Å, 90.00 90.00 90.00°
Space group F-43m (No. 216)
Symmetry-distinct sites (fractional):
Lu  0.0000  0.0000  0.0000 [4 per cell]
Zn  0.2500  0.2500  0.7500 [4 per cell]
Co  0.0000  0.0000  0.5000 [4 per cell]
Pb  0.2500  0.2500  0.2500 [4 per cell]